First-principles (PBE) data for crystalline Ce2Ho3Si4 at its relaxed geometry, as listed in the Alexandria database.

a b c (Å): 7.4386 7.7062 7.7345
angles (deg): 90.00 90.00 107.07
Last column: nearest neighbours and their distance in Å.
Fractional positions:
Ce1 0.4182 0.8037 0.6762  6 Si 3.04-3.27
Ce2 0.5818 0.1963 0.3238  6 Si 3.04-3.27
Ce3 0.9182 0.8037 0.8238  6 Si 3.04-3.27
Ce4 0.0818 0.1963 0.1762  6 Si 3.04-3.27
Si1 0.8757 0.0787 0.5284  1 Si 2.53
Si2 0.3767 0.4910 0.3813  1 Si 2.57
Si3 0.3757 0.0787 0.9716  1 Si 2.53
Si4 0.8767 0.4910 0.1187  1 Si 2.57
Si5 0.1243 0.9213 0.4716  1 Si 2.53
Si6 0.6233 0.5090 0.6187  1 Si 2.57
Si7 0.1233 0.5090 0.8813  1 Si 2.57
Si8 0.6243 0.9213 0.0284  1 Si 2.53
Ho1 0.7476 0.7559 0.3192  6 Si 2.87-2.97
Ho2 0.0000 0.5000 0.5000  6 Si 2.97-3.11
Ho3 0.5000 0.5000 0.0000  6 Si 2.97-3.11
Ho4 0.2524 0.2441 0.6808  6 Si 2.87-2.97
Ho5 0.2476 0.7559 0.1808  6 Si 2.87-2.97
Ho6 0.7524 0.2441 0.8192  6 Si 2.87-2.97

V in Å³ per atom: 23.546
Energy in eV per atom: -5.97
Symmetry: P2_1/c, No. 14

=====

First-principles (PBE) data for crystalline Li2ZnNi at its relaxed geometry, as listed in the Alexandria database.

a b c (Å): 4.5252 4.5252 4.6849
angles (deg): 80.63 80.63 34.06
Last column: nearest neighbours and their distance in Å.
Fractional positions:
Zn1 0.2421 0.2421 0.2829  3 Ni 2.49-2.57, 5 Li 2.59-2.72, 2 Zn 2.65
Li1 0.9955 0.9955 0.9911  5 Li 2.50-2.71, 4 Ni 2.64-2.75, 3 Zn 2.72
Li2 0.7591 0.7591 0.7512  5 Li 2.50-2.71, 2 Zn 2.59, 3 Ni 2.64-2.75
Ni1 0.5034 0.5034 0.4748  3 Zn 2.49-2.57, 7 Li 2.64-2.75, 2 Ni 2.65

V in Å³ per atom: 13.237
ΔH_f (0 K) in eV per atom: -0.0949
Symmetry: Cm, No. 8

=====

First-principles (PBE) data for crystalline Li2NdGeH at its relaxed geometry, as listed in the Alexandria database.

a b c (Å): 4.3247 5.8412 6.8479
angles (deg): 90.00 90.00 111.73
Last column: nearest neighbours and their distance in Å.
Fractional positions:
Ge1 0.2931 0.5862 0.2500  6 Li 2.57-2.59
Ge2 0.7069 0.4138 0.7500  6 Li 2.57-2.59
Li1 0.1583 0.3166 0.9380  1 H 1.77
Li2 0.8417 0.6834 0.4380  1 H 1.77
Li3 0.1583 0.3166 0.5620  1 H 1.77
Li4 0.8417 0.6834 0.0620  1 H 1.77
Nd1 0.5742 0.1484 0.2500  4 H 2.87, 3 Ge 3.05-3.21, 6 Li 3.17-3.18
Nd2 0.4258 0.8516 0.7500  4 H 2.87, 3 Ge 3.05-3.21, 6 Li 3.17-3.18
H1 0.0000 0.0000 0.5000  2 Li 1.77
H2 0.0000 0.0000 0.0000  2 Li 1.77

V in Å³ per atom: 16.070
Energy in eV per atom: -3.78
Symmetry: Cmcm, No. 63

=====

First-principles (PBE) data for crystalline PmDyPdRh at its relaxed geometry, as listed in the Alexandria database.

a b c (Å): 3.7641 4.4865 5.6532
angles (deg): 90.00 109.45 90.00
Last column: nearest neighbours and their distance in Å.
Fractional positions:
Rh1 0.4095 0.0000 0.8189  3 Pm 2.85-3.12, 2 Pd 2.91, 4 Dy 2.97
Pd1 0.5837 0.5000 0.1675  2 Rh 2.91, 3 Dy 2.99-3.00, 4 Pm 2.99
Pm1 0.1424 0.0000 0.2847  3 Rh 2.85-3.12, 4 Pd 2.99
Dy1 0.8644 0.5000 0.7289  4 Rh 2.97, 3 Pd 2.99-3.00

V in Å³ per atom: 22.505
ΔH_f (0 K) in eV per atom: -0.8264
Offset from the most stable computed form in meV/atom: 0.0
Symmetry: Amm2, No. 38

=====

First-principles (PBE) data for crystalline AlCuHg2 at its relaxed geometry, as listed in the Alexandria database.

a b c (Å): 3.0755 3.0755 8.1903
angles (deg): 90.00 90.00 90.00
Last column: nearest neighbours and their distance in Å.
Fractional positions:
Hg1 0.5000 0.5000 0.2789  8 Hg 3.08-3.43, 4 Al 3.12
Hg2 0.0000 0.0000 0.9544  4 Cu 2.93, 4 Hg 3.08
Al1 0.0000 0.0000 0.5515  4 Cu 2.55
Cu1 0.5000 0.5000 0.7151  4 Al 2.55

V in Å³ per atom: 19.368
ΔH_f (0 K) in eV per atom: 0.1016
Symmetry: P4mm, No. 99

=====

First-principles (PBE) data for crystalline ZnAsIr2 at its relaxed geometry, as listed in the Alexandria database.

a b c (Å): 4.4901 4.4901 4.4901
angles (deg): 125.06 125.06 81.43
Last column: nearest neighbours and their distance in Å.
Fractional positions:
Ir1 0.0000 0.0000 0.0000  4 As 2.68, 4 Zn 2.68, 4 Ir 2.93
Ir2 0.5000 0.5000 0.0000  4 As 2.68, 4 Zn 2.68, 4 Ir 2.93
As1 0.7500 0.2500 0.5000  8 Ir 2.68, 4 Zn 2.93
Zn1 0.2500 0.7500 0.5000  8 Ir 2.68, 4 As 2.93

V in Å³ per atom: 14.597
ΔH_f (0 K) in eV per atom: 0.0040
Offset from the most stable computed form in meV/atom: 17.8
Symmetry: I4/mmm, No. 139

=====

First-principles (PBE) data for crystalline RbMgGe at its relaxed geometry, as listed in the Alexandria database.

a b c (Å): 4.2435 4.9481 12.0595
angles (deg): 81.63 85.55 64.68
Last column: nearest neighbours and their distance in Å.
Fractional positions:
Ge1 0.4403 0.5737 0.1042  1 Ge 2.67, 5 Mg 2.76-2.98
Ge2 0.5597 0.4263 0.8958  1 Ge 2.67, 5 Mg 2.76-2.98
Mg1 0.8591 0.8068 0.9426  5 Ge 2.76-2.98, 1 Mg 2.91
Mg2 0.1409 0.1932 0.0574  5 Ge 2.76-2.98, 1 Mg 2.91
Rb1 0.7678 0.8286 0.3078  3 Ge 3.53-3.88, 2 Mg 3.87
Rb2 0.2322 0.1714 0.6922  3 Ge 3.53-3.88, 2 Mg 3.87

V in Å³ per atom: 37.737
ΔH_f (0 K) in eV per atom: -0.1500
Offset from the most stable computed form in meV/atom: 0.0
Symmetry: P-1, No. 2

=====

First-principles (PBE) data for crystalline CrSi2Hg at its relaxed geometry, as listed in the Alexandria database.

a b c (Å): 4.1060 4.1060 8.5919
angles (deg): 76.18 76.18 90.00
Last column: nearest neighbours and their distance in Å.
Fractional positions:
Si1 0.5424 0.1250 0.2500  2 Cr 2.37, 2 Si 2.47, 2 Hg 2.65
Si2 0.8750 0.7924 0.7500  2 Cr 2.37, 2 Si 2.47, 2 Hg 2.65
Si3 0.2076 0.6250 0.2500  2 Cr 2.37, 2 Si 2.47, 2 Hg 2.65
Si4 0.3750 0.4576 0.7500  2 Cr 2.37, 2 Si 2.47, 2 Hg 2.65
Hg1 0.0000 0.0000 0.0000  4 Si 2.65, 4 Cr 2.90
Hg2 0.7500 0.2500 0.5000  4 Si 2.65, 4 Cr 2.90
Cr1 0.5000 0.5000 0.0000  4 Si 2.37
Cr2 0.2500 0.7500 0.5000  4 Si 2.37

V in Å³ per atom: 17.042
Energy in eV per atom: -4.72
Symmetry: I-42d, No. 122

=====

First-principles (PBE) data for crystalline DyPuScO6 at its relaxed geometry, as listed in the Alexandria database.

a b c (Å): 5.5106 5.5106 9.5886
angles (deg): 90.00 90.00 120.00
Last column: nearest neighbours and their distance in Å.
Fractional positions:
O1 0.0074 0.6548 0.8637  1 Pu 2.07, 1 Sc 2.13
O2 0.3452 0.3526 0.8637  1 Pu 2.07, 1 Sc 2.13
O3 0.6474 0.9926 0.8637  1 Pu 2.07, 1 Sc 2.13
O4 0.3526 0.0074 0.1363  1 Pu 2.07, 1 Sc 2.13
O5 0.0074 0.3526 0.6363  1 Pu 2.07, 1 Sc 2.13
O6 0.9926 0.3452 0.1363  1 Pu 2.07, 1 Sc 2.13
O7 0.3452 0.9926 0.6363  1 Pu 2.07, 1 Sc 2.13
O8 0.6474 0.6548 0.6363  1 Pu 2.07, 1 Sc 2.13
O9 0.6548 0.6474 0.1363  1 Pu 2.07, 1 Sc 2.13
O10 0.6548 0.0074 0.3637  1 Pu 2.07, 1 Sc 2.13
O11 0.3526 0.3452 0.3637  1 Pu 2.07, 1 Sc 2.13
O12 0.9926 0.6474 0.3637  1 Pu 2.07, 1 Sc 2.13
Sc1 0.3333 0.6667 0.2500  6 O 2.13
Sc2 0.6667 0.3333 0.7500  6 O 2.13
Dy1 0.0000 0.0000 0.0000  6 O 2.33
Dy2 0.0000 0.0000 0.5000  6 O 2.33
Pu1 0.3333 0.6667 0.7500  6 O 2.07
Pu2 0.6667 0.3333 0.2500  6 O 2.07

V in Å³ per atom: 14.009
Energy in eV per atom: -9.18
Symmetry: P-31c, No. 163

=====

First-principles (PBE) data for crystalline TaNb2Tl at its relaxed geometry, as listed in the Alexandria database.

a b c (Å): 4.7777 4.7777 4.7777
angles (deg): 60.00 60.00 60.00
Last column: nearest neighbours and their distance in Å.
Fractional positions:
Ta1 0.0000 0.0000 0.0000  8 Nb 2.93
Nb1 0.7500 0.7500 0.7500  4 Ta 2.93, 4 Tl 2.93
Nb2 0.2500 0.2500 0.2500  4 Ta 2.93, 4 Tl 2.93
Tl1 0.5000 0.5000 0.5000  8 Nb 2.93

V in Å³ per atom: 19.279
ΔH_f (0 K) in eV per atom: 0.3338
Offset from the most stable computed form in meV/atom: 0.0
Symmetry: Fm-3m, No. 225

=====

First-principles (PBE) data for crystalline Nd8Sc2Tl at its relaxed geometry, as listed in the Alexandria database.

a b c (Å): 5.0092 8.0347 9.3851
angles (deg): 105.54 105.48 90.00
Last column: nearest neighbours and their distance in Å.
Fractional positions:
Nd1 0.4053 0.5526 0.8106  3 Sc 3.47-3.48, 8 Nd 3.49-3.75, 1 Tl 3.53
Nd2 0.1392 0.1876 0.2784  3 Sc 3.46-3.52, 7 Nd 3.49-3.63, 2 Tl 3.57
Nd3 0.0472 0.7264 0.0944  9 Nd 3.51-3.63, 1 Sc 3.52, 2 Tl 3.59
Nd4 0.9528 0.2736 0.9056  9 Nd 3.51-3.63, 1 Sc 3.52, 2 Tl 3.59
Nd5 0.6806 0.9106 0.3612  8 Nd 3.51-3.61, 1 Tl 3.53, 3 Sc 3.61
Nd6 0.5947 0.4474 0.1894  3 Sc 3.47-3.48, 8 Nd 3.49-3.75, 1 Tl 3.53
Nd7 0.8608 0.8124 0.7216  3 Sc 3.46-3.52, 7 Nd 3.49-3.63, 2 Tl 3.57
Nd8 0.3194 0.0894 0.6388  8 Nd 3.51-3.61, 1 Tl 3.53, 3 Sc 3.61
Tl1 0.5000 0.0000 0.0000  12 Nd 3.53-3.59
Sc1 0.7744 0.3701 0.5487  10 Nd 3.46-3.61, 2 Sc 3.53
Sc2 0.2256 0.6299 0.4513  10 Nd 3.46-3.61, 2 Sc 3.53

V in Å³ per atom: 31.790
ΔH_f (0 K) in eV per atom: -0.0288
Symmetry: C2/m, No. 12

=====

First-principles (PBE) data for crystalline AcCeLu2 at its relaxed geometry, as listed in the Alexandria database.

a b c (Å): 3.5122 3.5122 12.5714
angles (deg): 81.97 81.97 60.00
Last column: nearest neighbours and their distance in Å.
Fractional positions:
Lu1 0.0940 0.0940 0.7181  3 Ce 3.38, 1 Ac 3.50, 6 Lu 3.51
Lu2 0.9060 0.9060 0.2819  3 Ce 3.38, 1 Ac 3.50, 6 Lu 3.51
Ac1 0.0000 0.0000 0.0000  2 Lu 3.50, 6 Ac 3.51
Ce1 0.5000 0.5000 0.5000  6 Lu 3.38, 6 Ce 3.51

V in Å³ per atom: 33.135
ΔH_f (0 K) in eV per atom: 0.2316
Offset from the most stable computed form in meV/atom: 108.5
Symmetry: R-3m, No. 166